No. 1
Here is K2TaCr after structural relaxation from Alexandria. Energies are from PBEsol.

Computed properties:
- relative energy among the computed polymorphs (meV/atom) = 0
- SG = C2/m, No. 12
- M_tot (μB per cell) = 1.09
- ΔH_f (0 K) (meV/atom) = 939

Unit cell a=3.038 b=3.931 c=10.797 alpha=100.09 beta=98.09 gamma=90.00
Positions (direct):
Cr 0.500 0.000 0.000
K 0.149 0.145 0.299
K 0.851 0.855 0.701
Ta 0.000 0.500 0.000

***

No. 2
Here is KTa2Cr after structural relaxation from Alexandria. Energies are from PBEsol.

Computed properties:
- relative energy among the computed polymorphs (meV/atom) = 0
- SG = Cm, No. 8
- M_tot (μB per cell) = 2.20
- ΔH_f (0 K) (meV/atom) = 1083

Unit cell a=2.874 b=4.653 c=7.530 alpha=92.63 beta=90.00 gamma=107.99
Positions (direct):
Cr 0.513 0.025 0.605
Ta 0.985 0.970 0.900
Ta 0.249 0.498 0.735
K 0.753 0.506 0.259

***

No. 3
Here is KTaCr2 after structural relaxation from Alexandria. Energies are from PBEsol.

Computed properties:
- relative energy among the computed polymorphs (meV/atom) = 0
- SG = P4mm, No. 99
- M_tot (μB per cell) = 1.67
- ΔH_f (0 K) (meV/atom) = 820

Unit cell a=2.912 b=2.912 c=9.109 alpha=90.00 beta=90.00 gamma=90.00
Positions (direct):
Cr 0.500 0.500 0.161
Cr 0.000 0.000 0.026
Ta 0.500 0.500 0.838
K 0.000 0.000 0.475

***

No. 4
Here is K4TaCr after structural relaxation from Alexandria. Energies are from PBEsol.

Computed properties:
- SG = F-43m, No. 216
- M_tot (μB per cell) = 9.40
- ΔH_f (0 K) (meV/atom) = 1691

Unit cell a=6.871 b=6.871 c=6.871 alpha=60.00 beta=60.00 gamma=60.00
Positions (direct):
K 0.375 0.874 0.375
K 0.375 0.375 0.874
K 0.375 0.375 0.375
K 0.874 0.375 0.375
Cr 0.000 0.000 0.000
Ta 0.750 0.750 0.750

***

No. 5
Here is KTaCr2 after structural relaxation from Alexandria. Energies are from PBEsol.

Computed properties:
- relative energy among the computed polymorphs (meV/atom) = 43
- SG = Cmm2, No. 35
- M_tot (μB per cell) = 0.00
- ΔH_f (0 K) (meV/atom) = 863

Unit cell a=2.754 b=2.754 c=10.012 alpha=90.00 beta=90.00 gamma=114.13
Positions (direct):
Ta 0.500 0.500 0.191
Cr 0.000 0.000 0.976
Cr 0.500 0.500 0.815
K 0.000 0.000 0.517

***

No. 6
Here is KZrTaCr2 after structural relaxation from Alexandria. Energies are from PBEsol.

Computed properties:
- SG = P4/mmm, No. 123
- M_tot (μB per cell) = 4.81
- ΔH_f (0 K) (meV/atom) = 2399

Unit cell a=4.329 b=4.329 c=4.683 alpha=90.00 beta=90.00 gamma=90.00
Positions (direct):
Cr 0.500 0.000 0.000
Cr 0.000 0.500 0.000
Zr 0.000 0.000 0.500
K 0.000 0.000 0.000
Ta 0.500 0.500 0.500

***

No. 7
Here is KCrTe after structural relaxation from Alexandria. Energies are from PBEsol.

Computed properties:
- relative energy among the computed polymorphs (meV/atom) = 762
- SG = F-43m, No. 216
- M_tot (μB per cell) = 5.00
- formation energy from raw total energies (kJ per mole of atoms) = 67.1

Unit cell a=5.179 b=5.179 c=5.179 alpha=60.00 beta=60.00 gamma=60.00
Positions (direct):
Cr 0.500 0.500 0.500
Te 0.000 0.000 0.000
K 0.250 0.250 0.250

***

No. 8
Here is KCrTe after structural relaxation from Alexandria. Energies are from PBEsol.

Computed properties:
- relative energy among the computed polymorphs (meV/atom) = 183
- SG = I4mm, No. 107
- M_tot (μB per cell) = 4.69
- formation energy from raw total energies (kJ per mole of atoms) = 11.3

Unit cell a=3.914 b=3.914 c=6.757 alpha=106.84 beta=106.84 gamma=90.00
Positions (direct):
Te 0.392 0.392 0.785
Cr 0.936 0.936 0.873
K 0.671 0.671 0.343